Entry 1:
Material: RbBa2Sb
Method: DFT, GGA-PBE
State: relaxed

Lattice parameters (Å, degrees): 10.643 10.643 8.330 90.00 90.00 90.00
Space group I-42d (No. 122)
Unique sites:
Rb (0.000, 0.000, 0.000)
Ba (0.172, 0.250, 0.625)
Sb (0.000, 0.000, 0.500)

Results
M_tot = 0.00 Bohr magnetons per cell
Raw total energy = -10.40 eV/f.u.

Entry 2:
Material: Rb2Ba2Sb
Method: DFT, GGA-PBE
State: relaxed

Lattice parameters (Å, degrees): 9.238 9.238 7.750 90.00 90.00 90.00
Space group P4/mbm (No. 127)
Unique sites:
Rb (0.173, 0.327, 0.000)
Ba (0.173, 0.673, 0.500)
Sb (0.000, 0.000, 0.500)

Results
M_tot = 1.45 Bohr magnetons per cell
Raw total energy = -11.10 eV/f.u.

Entry 3:
Material: Rb2BaSb
Method: DFT, GGA-PBE
State: relaxed

Lattice parameters (Å, degrees): 9.481 5.574 10.381 90.00 91.05 90.00
Space group P2_1/m (No. 11)
Unique sites:
Rb (0.112, 0.250, 0.386)
Rb (0.228, 0.750, 0.930)
Ba (0.471, 0.250, 0.662)
Sb (0.281, 0.750, 0.577)

Results
M_tot = 0.00 Bohr magnetons per cell
Raw total energy = -9.80 eV/f.u.

Entry 4:
Material: Rb5BaSb2
Method: DFT, GGA-PBE
State: relaxed

Lattice parameters (Å, degrees): 6.6734 6.6734 23.4257 90.00 90.00 120.00
Space group P6_3/mmc (No. 194)
Unique sites:
Rb (0.0000, 0.0000, 0.1189)
Rb (0.3333, 0.6667, 0.0517)
Rb (0.3333, 0.6667, 0.2500)
Ba (0.3333, 0.6667, 0.7500)
Sb (0.3333, 0.6667, 0.6084)

Results
M_tot = 0.01 Bohr magnetons per cell
Raw total energy = -17.27 eV/f.u.

Copy entry 2 word for word.
Material: Rb2Ba2Sb
Method: DFT, GGA-PBE
State: relaxed

Lattice parameters (Å, degrees): 9.238 9.238 7.750 90.00 90.00 90.00
Space group P4/mbm (No. 127)
Unique sites:
Rb (0.173, 0.327, 0.000)
Ba (0.173, 0.673, 0.500)
Sb (0.000, 0.000, 0.500)

Results
M_tot = 1.45 Bohr magnetons per cell
Raw total energy = -11.10 eV/f.u.

Q: Which of these has the highest M_tot?
A: Rb2Ba2Sb

Q: The highest raw total energy belongs to which entry?
A: Rb2BaSb

Repeat the third record exactly.
Material: Rb2BaSb
Method: DFT, GGA-PBE
State: relaxed

Lattice parameters (Å, degrees): 9.481 5.574 10.381 90.00 91.05 90.00
Space group P2_1/m (No. 11)
Unique sites:
Rb (0.112, 0.250, 0.386)
Rb (0.228, 0.750, 0.930)
Ba (0.471, 0.250, 0.662)
Sb (0.281, 0.750, 0.577)

Results
M_tot = 0.00 Bohr magnetons per cell
Raw total energy = -9.80 eV/f.u.